(1)
# CsSrBi2I | Alexandria via LeMat-Bulk | PBE | relaxed
data_CsSrBi2I
_chemical_formula_sum 'Cs1 Sr1 Bi2 I1'
_symmetry_space_group_name_H-M 'P 1'
_symmetry_Int_Tables_number 1
_cell_length_a 6.464
_cell_length_b 6.551
_cell_length_c 6.464
_cell_angle_alpha 90.00
_cell_angle_beta 90.00
_cell_angle_gamma 90.00
loop_
_symmetry_equiv_pos_as_xyz
'x,y,z'
loop_
_atom_site_label
_atom_site_fract_x
_atom_site_fract_y
_atom_site_fract_z
Bi1 0.500 0.000 0.000
Bi2 0.000 0.000 0.500
I1 0.000 0.500 0.000
Cs1 0.500 0.500 0.500
Sr1 0.000 0.000 0.000
# - Uncorrected formation energy: -307 meV/atom
# - VASP energy: -2.676 eV per atom
# - Size of the total moment: 0.397 μB per atom

---

(2)
# Cs2SrBiI6 | Alexandria via LeMat-Bulk | PBE | relaxed
data_Cs2SrBiI6
_chemical_formula_sum 'Cs2 Sr1 Bi1 I6'
_symmetry_space_group_name_H-M 'P 1'
_symmetry_Int_Tables_number 1
_cell_length_a 8.939
_cell_length_b 8.939
_cell_length_c 9.368
_cell_angle_alpha 61.50
_cell_angle_beta 61.50
_cell_angle_gamma 90.00
loop_
_symmetry_equiv_pos_as_xyz
'x,y,z'
loop_
_atom_site_label
_atom_site_fract_x
_atom_site_fract_y
_atom_site_fract_z
I1 0.757 0.243 0.000
I2 0.243 0.757 0.000
I3 0.757 0.757 0.000
I4 0.243 0.243 0.000
I5 0.267 0.267 0.465
I6 0.733 0.733 0.535
Cs1 0.750 0.250 0.500
Cs2 0.250 0.750 0.500
Sr1 0.500 0.500 0.000
Bi1 0.000 0.000 0.000
# - Uncorrected formation energy: -1137 meV/atom
# - VASP energy: -2.794 eV per atom
# - Size of the total moment: 0.100 μB per atom

---

(3)
# Cs2BiTeI3 | Alexandria via LeMat-Bulk | PBE | relaxed
data_Cs2BiTeI3
_chemical_formula_sum 'Cs2 Bi1 Te1 I3'
_symmetry_space_group_name_H-M 'P 1'
_symmetry_Int_Tables_number 1
_cell_length_a 6.047
_cell_length_b 6.288
_cell_length_c 10.650
_cell_angle_alpha 107.17
_cell_angle_beta 106.49
_cell_angle_gamma 90.00
loop_
_symmetry_equiv_pos_as_xyz
'x,y,z'
loop_
_atom_site_label
_atom_site_fract_x
_atom_site_fract_y
_atom_site_fract_z
I1 0.163 0.163 0.326
I2 0.000 0.500 0.000
I3 0.837 0.837 0.674
Cs1 0.365 0.365 0.729
Cs2 0.635 0.635 0.271
Bi1 0.000 0.000 0.000
Te1 0.500 0.000 0.000
# - Uncorrected formation energy: -920 meV/atom
# - VASP energy: -2.831 eV per atom
# - Size of the total moment: 0.000 μB per atom

---

(4)
# CsBiTe2I | Alexandria via LeMat-Bulk | PBE | relaxed
data_CsBiTe2I
_chemical_formula_sum 'Cs1 Bi1 Te2 I1'
_symmetry_space_group_name_H-M 'P 1'
_symmetry_Int_Tables_number 1
_cell_length_a 6.009
_cell_length_b 6.009
_cell_length_c 6.429
_cell_angle_alpha 90.00
_cell_angle_beta 90.00
_cell_angle_gamma 90.00
loop_
_symmetry_equiv_pos_as_xyz
'x,y,z'
loop_
_atom_site_label
_atom_site_fract_x
_atom_site_fract_y
_atom_site_fract_z
Te1 0.000 0.500 0.000
Te2 0.500 0.000 0.000
Bi1 0.000 0.000 0.000
I1 0.000 0.000 0.500
Cs1 0.500 0.500 0.500
# - Uncorrected formation energy: -410 meV/atom
# - VASP energy: -2.923 eV per atom
# - Size of the total moment: 0.000 μB per atom

---

(5)
# CsBiTe2I | Alexandria via LeMat-Bulk | PBE | relaxed
data_CsBiTe2I
_chemical_formula_sum 'Cs1 Bi1 Te2 I1'
_symmetry_space_group_name_H-M 'P 1'
_symmetry_Int_Tables_number 1
_cell_length_a 6.423
_cell_length_b 6.423
_cell_length_c 6.756
_cell_angle_alpha 90.00
_cell_angle_beta 90.00
_cell_angle_gamma 90.00
loop_
_symmetry_equiv_pos_as_xyz
'x,y,z'
loop_
_atom_site_label
_atom_site_fract_x
_atom_site_fract_y
_atom_site_fract_z
Te1 0.500 0.000 0.000
Te2 0.000 0.500 0.000
Bi1 0.500 0.500 0.500
Cs1 0.000 0.000 0.000
I1 0.000 0.000 0.500
# - Uncorrected formation energy: 823 meV/atom
# - VASP energy: -1.691 eV per atom
# - Size of the total moment: 0.060 μB per atom

---

(6)
# Cs2TlBiI6 | Alexandria via LeMat-Bulk | PBE | relaxed
data_Cs2TlBiI6
_chemical_formula_sum 'Cs4 Tl2 Bi2 I12'
_symmetry_space_group_name_H-M 'P 1'
_symmetry_Int_Tables_number 1
_cell_length_a 8.767
_cell_length_b 9.251
_cell_length_c 12.726
_cell_angle_alpha 90.00
_cell_angle_beta 89.83
_cell_angle_gamma 90.00
loop_
_symmetry_equiv_pos_as_xyz
'x,y,z'
loop_
_atom_site_label
_atom_site_fract_x
_atom_site_fract_y
_atom_site_fract_z
I1 0.682 0.284 0.542
I2 0.790 0.815 0.543
I3 0.086 0.486 0.763
I4 0.182 0.216 0.042
I5 0.586 0.014 0.263
I6 0.290 0.685 0.043
I7 0.914 0.514 0.237
I8 0.210 0.185 0.457
I9 0.710 0.315 0.957
I10 0.818 0.784 0.958
I11 0.414 0.986 0.737
I12 0.318 0.716 0.458
Cs1 0.974 0.075 0.751
Cs2 0.474 0.425 0.251
Cs3 0.526 0.575 0.749
Cs4 0.026 0.925 0.249
Tl1 0.500 0.000 0.000
Tl2 0.000 0.500 0.500
Bi1 0.000 0.500 0.000
Bi2 0.500 0.000 0.500
# - Uncorrected formation energy: -963 meV/atom
# - VASP energy: -2.688 eV per atom
# - Size of the total moment: 0.000 μB per atom